# 1
The following is a PBE-GGA calculation of a relaxed MgAl4Pd2 crystal, from Alexandria via LeMat-Bulk.

Computed properties:
* calculated total energy: -4.3711 eV/atom
* energy relative to the elements: -0.521 eV/atom
* space-group type: Pnma (62)

Cell: 16.124 4.071 7.281 Å, 90.00 90.00 90.00°
Positions (direct):
Mg: 0.147 0.250 0.091
Mg: 0.353 0.750 0.591
Mg: 0.647 0.250 0.409
Mg: 0.853 0.750 0.909
Al: 0.031 0.750 0.881
Al: 0.068 0.250 0.495
Al: 0.188 0.750 0.789
Al: 0.191 0.750 0.399
Al: 0.309 0.250 0.899
Al: 0.312 0.250 0.289
Al: 0.432 0.750 0.995
Al: 0.469 0.250 0.381
Al: 0.531 0.750 0.619
Al: 0.568 0.250 0.005
Al: 0.688 0.750 0.711
Al: 0.691 0.750 0.101
Al: 0.809 0.250 0.601
Al: 0.812 0.250 0.211
Al: 0.932 0.750 0.505
Al: 0.969 0.250 0.119
Pd: 0.048 0.750 0.258
Pd: 0.228 0.250 0.596
Pd: 0.272 0.750 0.096
Pd: 0.452 0.250 0.758
Pd: 0.548 0.750 0.242
Pd: 0.728 0.250 0.904
Pd: 0.772 0.750 0.404
Pd: 0.952 0.250 0.742

# 2
The following is a PBE-GGA calculation of a relaxed KOs2Au crystal, from Alexandria via LeMat-Bulk.

Computed properties:
* excess energy over the best structure of this formula in the dataset: 311 meV per atom
* calculated total energy: -5.8534 eV/atom
* energy relative to the elements: 0.855 eV/atom
* space-group type: Cmm2 (35)

Cell: 2.777 2.777 10.534 Å, 90.00 90.00 117.23°
Positions (direct):
K: 0.000 0.000 0.000
Os: 0.000 0.000 0.479
Os: 0.500 0.500 0.277
Au: 0.500 0.500 0.726

# 3
The following is a PBE-GGA calculation of a relaxed HfSc3Cd crystal, from Alexandria via LeMat-Bulk.

Computed properties:
* excess energy over the best structure of this formula in the dataset: 830 meV per atom
* calculated total energy: -5.2473 eV/atom
* energy relative to the elements: 0.725 eV/atom
* space-group type: Pm-3m (221)

Cell: 5.210 5.210 5.210 Å, 90.00 90.00 90.00°
Positions (direct):
Hf: 0.000 0.000 0.000
Sc: 0.000 0.000 0.500
Sc: 0.000 0.500 0.000
Sc: 0.500 0.000 0.000
Cd: 0.500 0.500 0.500

# 4
The following is a PBE-GGA calculation of a relaxed CaNi2S4 crystal, from Alexandria via LeMat-Bulk.

Computed properties:
* excess energy over the best structure of this formula in the dataset: 71 meV per atom
* calculated total energy: -4.8398 eV/atom
* formation energy (no corrections): -0.544 eV per atom
* space-group type: I4_1/amd (141)

Cell: 7.805 7.805 7.805 Å, 128.87 128.87 75.21°
Positions (direct):
Ca: 0.375 0.625 0.750
Ca: 0.625 0.375 0.250
Ni: 0.000 0.000 0.000
Ni: 0.000 0.000 0.500
Ni: 0.000 0.500 0.000
Ni: 0.500 0.000 0.500
S: 0.189 0.224 0.965
S: 0.224 0.189 0.465
S: 0.224 0.759 0.035
S: 0.241 0.776 0.465
S: 0.759 0.224 0.535
S: 0.776 0.241 0.965
S: 0.776 0.811 0.535
S: 0.811 0.776 0.035

Density of states at the Fermi level per entry: 0.2883 0.9437 1.0215 0.3929 states/eV per atom